This record from Alexandria describes Ac8SiTe4Se3 after structural relaxation. The functional is PBE-GGA.

Lattice parameters (Å, degrees): 9.3455 9.3455 9.3455 58.65 58.65 58.65
Positions (direct):
Ac (0.2419, 0.2419, 0.2419)
Ac (0.2484, 0.7371, 0.7371)
Ac (0.2629, 0.2629, 0.7516)
Ac (0.2629, 0.7516, 0.2629)
Ac (0.7371, 0.2484, 0.7371)
Ac (0.7371, 0.7371, 0.2484)
Ac (0.7516, 0.2629, 0.2629)
Ac (0.7581, 0.7581, 0.7581)
Si (0.5000, 0.5000, 0.5000)
Te (0.0000, 0.0000, 0.0000)
Te (0.0000, 0.5000, 0.5000)
Te (0.5000, 0.0000, 0.5000)
Te (0.5000, 0.5000, 0.0000)
Se (0.0000, 0.0000, 0.5000)
Se (0.0000, 0.5000, 0.0000)
Se (0.5000, 0.0000, 0.0000)

The total energy is -5.399 eV/atom. The value obtained for the total magnetic moment is 0.0000 μB per atom. The density of states at the Fermi level comes out at 0.538 states/eV/atom.